# 1
Crystalline HfSc2Os2 at its relaxed geometry. Source: the Alexandria database, functional GGA-PBE.

The structure belongs to space group Cmmm (No. 65); the cell edges are 3.208, 19.421 and 3.182 Å and the angles 90.00°, 90.00° and 90.00°. The asymmetric unit holds Hf at (0.000, 0.000, 0.000), Sc at (0.000, 0.167, 0.000) and Os at (0.000, 0.414, 0.500).

The crystal system is orthorhombic. The total energy comes out at -9.47 eV per atom. The size of the total moment is 0.00 Bohr magnetons per cell. Its energy relative to the elements is -0.46 eV/atom.

---

# 2
Crystalline Y5Ni2Te2 at its relaxed geometry. Source: the Alexandria database, functional GGA-PBE.

The structure belongs to space group Cmcm (No. 63); the cell edges are 4.009, 15.076 and 14.969 Å and the angles 90.00°, 90.00° and 90.00°. The asymmetric unit holds Y at (0.000, 0.041, 0.123), Y at (0.000, 0.258, 0.627), Y at (0.000, 0.395, 0.250), Ni at (0.000, 0.186, 0.250), Ni at (0.000, 0.411, 0.750) and Te at (0.000, 0.385, 0.040).

The crystal system is orthorhombic. The total energy comes out at -6.40 eV per atom. The size of the total moment is 0.00 Bohr magnetons per cell. For the formation energy (no corrections), the calculation gives -0.823 eV/atom.

---

# 3
Crystalline CrIrPb2 at its relaxed geometry. Source: the Alexandria database, functional GGA-PBE.

The structure belongs to space group I-42d (No. 122); the cell edges are 7.894, 7.894 and 6.012 Å and the angles 90.00°, 90.00° and 90.00°. The asymmetric unit holds Cr at (0.000, 0.000, 0.000), Ir at (0.000, 0.000, 0.500) and Pb at (0.218, 0.250, 0.625).

The crystal system is tetragonal. The total energy comes out at -5.78 eV per atom. The size of the total moment is 16.72 Bohr magnetons per cell. Its energy relative to the elements is 0.70 eV/atom.

---

# 4
Crystalline PrDy4Tc at its relaxed geometry. Source: the Alexandria database, functional GGA-PBE.

The structure belongs to space group Pnma (No. 62); the cell edges are 8.861, 3.774 and 20.609 Å and the angles 90.00°, 90.00° and 90.00°. The asymmetric unit holds Pr at (0.227, 0.250, 0.188), Dy at (0.007, 0.750, 0.566), Dy at (0.041, 0.750, 0.294), Dy at (0.135, 0.750, 0.042), Dy at (0.149, 0.750, 0.860) and Tc at (0.239, 0.750, 0.454).

The crystal system is orthorhombic. The total energy comes out at -5.60 eV per atom. The size of the total moment is 0.00 Bohr magnetons per cell. Its energy relative to the elements is -0.01 eV/atom.

---

# 5
Crystalline CdRhW at its relaxed geometry. Source: the Alexandria database, functional GGA-PBE.

The structure belongs to space group Amm2 (No. 38); the cell edges are 2.939, 14.502 and 4.771 Å and the angles 90.00°, 90.00° and 90.00°. The asymmetric unit holds Cd at (0.000, 0.182, 0.000), Rh at (0.500, 0.141, 0.503), W at (0.000, 0.000, 0.311) and W at (0.500, 0.000, 0.838).

The crystal system is orthorhombic. The total energy comes out at -6.99 eV per atom. The size of the total moment is 0.00 Bohr magnetons per cell. Its energy relative to the elements is 0.08 eV/atom.

---

# 6
Crystalline PRuSe2 at its relaxed geometry. Source: the Alexandria database, functional GGA-PBE.

The structure belongs to space group P4/mmm (No. 123); the cell edges are 4.572, 4.572 and 3.104 Å and the angles 90.00°, 90.00° and 90.00°. The asymmetric unit holds P at (0.000, 0.000, 0.000), Ru at (0.500, 0.500, 0.000) and Se at (0.000, 0.500, 0.500).

The crystal system is tetragonal. The total energy comes out at -4.87 eV per atom. The size of the total moment is 0.00 Bohr magnetons per cell. For the formation energy (no corrections), the calculation gives 0.544 eV/atom.

---

# 7
Crystalline CdAsNF2 at its relaxed geometry. Source: the Alexandria database, functional GGA-PBE.

The structure belongs to space group P4/mmm (No. 123); the cell edges are 4.192, 4.192 and 4.581 Å and the angles 90.00°, 90.00° and 90.00°. The asymmetric unit holds Cd at (0.000, 0.000, 0.000), As at (0.500, 0.500, 0.500), N at (0.000, 0.000, 0.500) and F at (0.000, 0.500, 0.000).

The crystal system is tetragonal. The total energy comes out at -3.41 eV per atom. The size of the total moment is 0.47 Bohr magnetons per cell. For the formation energy (no corrections), the calculation gives 0.117 eV/atom.

---

# 8
Crystalline MgSiRu2 at its relaxed geometry. Source: the Alexandria database, functional GGA-PBE.

The structure belongs to space group P4/mmm (No. 123); the cell edges are 2.992, 2.992 and 6.254 Å and the angles 90.00°, 90.00° and 90.00°. The asymmetric unit holds Mg at (0.000, 0.000, 0.000), Si at (0.000, 0.000, 0.500) and Ru at (0.500, 0.500, 0.282).

The crystal system is tetragonal. The total energy comes out at -6.75 eV per atom. The size of the total moment is 0.00 Bohr magnetons per cell. For the formation energy (no corrections), the calculation gives -0.362 eV/atom.